# 1
Material: PrEuTmMg
Method: DFT, PBE
State: optimized geometry

Geometry as POSCAR:
```
PrEuTmMg
1.0
5.6661 0.0000 0.0000
2.8331 4.9070 0.0000
2.8331 1.6357 4.6264
Eu Pr Mg Tm
1 1 1 1
Direct
0.0000 0.0000 0.0000 Eu
0.5000 0.5000 0.5000 Pr
0.7500 0.7500 0.7500 Mg
0.2500 0.2500 0.2500 Tm
```

=====

# 2
Material: PrEuYMg
Method: DFT, PBE
State: optimized geometry

Geometry as POSCAR:
```
PrEuYMg
1.0
-1.7314 -4.1533 3.4679
3.6891 -3.9357 1.7815
1.6897 -0.0613 5.4235
Eu Pr Mg Y
1 1 1 1
Direct
0.0000 0.0000 0.0000 Eu
0.2500 0.2500 0.2500 Pr
0.5000 0.5000 0.5000 Mg
0.7500 0.7500 0.7500 Y
```

=====

# 3
Material: EuMgPt
Method: DFT, PBE
State: optimized geometry

Geometry as POSCAR:
```
EuMgPt
1.0
4.8042 0.0000 0.0000
2.4021 4.1606 0.0000
2.4021 1.3869 3.9227
Eu Mg Pt
1 1 1
Direct
0.0000 0.0000 0.0000 Eu
0.5000 0.5000 0.5000 Mg
0.2500 0.2500 0.2500 Pt
```

=====

# 4
Material: EuMgPt
Method: DFT, PBE
State: optimized geometry

Geometry as POSCAR:
```
EuMgPt
1.0
3.4705 0.0000 0.0000
0.0000 3.4705 0.0000
-1.7353 -1.7353 5.7980
Eu Mg Pt
1 1 1
Direct
0.3047 0.3047 0.6093 Eu
0.5774 0.5774 0.1549 Mg
0.9679 0.9679 0.9358 Pt
```

=====

# 5
Material: EuMgPt
Method: DFT, PBE
State: optimized geometry

Geometry as POSCAR:
```
EuMgPt
1.0
-0.1481 3.9658 0.9930
0.6776 -1.0674 4.3643
3.5496 0.8130 -2.7176
Eu Mg Pt
1 1 1
Direct
0.6667 0.6667 0.3333 Eu
0.1666 0.3333 0.6667 Mg
0.1666 0.0000 0.0000 Pt
```

=====

# 6
PBE EuPuMg2, optimized geometry; energy relative to the lowest polymorph listed for this composition = 0.00 kcal/mol of atoms
1.0
3.6379 0.0000 0.0000
0.0000 3.6379 0.0000
0.0000 0.0000 8.8010
Eu Mg Pu
1 2 1
Direct
0.5000 0.5000 0.5000 Eu
0.0000 0.0000 0.7616 Mg
0.0000 0.0000 0.2384 Mg
0.5000 0.5000 0.0000 Pu

=====

no.,formation energy from the elements (meV/atom)
1,51
2,53
3,-670
4,-622
5,-676
6,100